Material: Pr4Ga3Pd
Method: DFT, PBE
State: optimized geometry

Values from the calculation:
- Crystal system: orthorhombic
- Energy of formation: -0.603 eV/atom
- Raw total energy: -4.777 eV per atom
- Space group: No. 25
- Size of the total moment: 0.00 μB per formula unit

```
Pr4Ga3Pd
1.0
-2.146 2.460 -3.010
-3.176 -2.945 -0.142
-5.261 5.284 8.070
Pr Ga Pd
4 3 1
Cartesian
-4.502 1.606 1.248 Pr
-6.134 3.093 6.902 Pr
-0.743 0.746 1.139 Pr
-4.459 4.630 3.689 Pr
-4.592 1.544 4.536 Ga
-2.243 2.253 3.440 Ga
-5.970 6.148 6.007 Ga
-3.046 0.144 -0.986 Pd
```